Record 1
7
Lattice="-2.304 2.304 7.112 2.304 -2.304 7.112 2.304 2.304 -7.112" Properties=species:S:1:pos:R:3 comment="Tm4Zn2O | Alexandria via LeMat-Bulk | GGA-PBE | optimized geometry" formation_energy_uncorrected_ev_per_atom=-0.978 space_group=I4/mmm energy_ev_per_atom=-4.605 pbc="T T T"
Tm 2.304 0.000 0.000
Tm 0.000 0.000 2.575
Tm 0.000 2.304 0.000
Tm 0.000 0.000 11.648
Zn 0.000 0.000 5.344
Zn 0.000 0.000 8.879
O 0.000 0.000 0.000

=====

Record 2
20
Lattice="4.706 2.717 3.703 -4.706 2.717 3.703 0.000 -5.434 3.703" Properties=species:S:1:pos:R:3 comment="Tm3ZrO6 | Alexandria via LeMat-Bulk | GGA-PBE | optimized geometry" formation_energy_uncorrected_ev_per_atom=-3.429 space_group=R-3 energy_ev_per_atom=-8.600 pbc="T T T"
Tm -2.474 -2.415 4.998
Tm -3.328 0.935 6.110
Tm 0.854 -3.350 6.110
Tm -0.854 3.350 4.998
Tm 3.328 -0.935 4.998
Tm 2.474 2.415 6.110
Zr 0.000 0.000 0.000
Zr 0.000 0.000 5.554
O -4.123 -1.178 6.098
O -1.042 -4.160 5.010
O -2.031 -0.231 4.599
O -3.081 2.982 5.010
O -0.816 -1.875 6.509
O 1.216 -1.644 4.599
O -1.216 1.644 6.509
O 0.816 1.875 4.599
O 3.081 -2.982 6.098
O 2.031 0.231 6.509
O 1.042 4.160 6.098
O 4.123 1.178 5.010

=====

Record 3
22
Lattice="0.000 5.251 5.251 5.251 0.000 5.251 5.251 5.251 0.000" Properties=species:S:1:pos:R:3 comment="Tm2Zr2O7 | Alexandria via LeMat-Bulk | GGA-PBE | optimized geometry" formation_energy_uncorrected_ev_per_atom=-3.416 space_group=Fd-3m energy_ev_per_atom=-8.938 pbc="T T T"
Tm 0.000 0.000 0.000
Tm 2.625 2.625 0.000
Tm 2.625 0.000 2.625
Tm 0.000 2.625 2.625
Zr 5.251 2.625 2.625
Zr 2.625 5.251 2.625
Zr 2.625 2.625 5.251
Zr 5.251 5.251 5.251
O 1.313 1.313 1.313
O 3.938 3.938 1.640
O 3.938 1.640 3.938
O 6.236 3.938 3.938
O 6.563 6.563 4.266
O 6.563 4.266 6.563
O 8.861 6.563 6.563
O 1.640 3.938 3.938
O 3.938 6.236 3.938
O 3.938 3.938 6.236
O 4.266 6.563 6.563
O 6.563 8.861 6.563
O 6.563 6.563 8.861
O 9.189 9.189 9.189

=====

Record 4
32
Lattice="9.619 0.000 0.000 0.000 6.527 0.000 0.000 0.000 5.956" Properties=species:S:1:pos:R:3 comment="Tm2ZrO5 | Alexandria via LeMat-Bulk | GGA-PBE | optimized geometry" formation_energy_uncorrected_ev_per_atom=-3.510 space_group=Pnma energy_ev_per_atom=-8.795 pbc="T T T"
Tm 1.693 0.006 0.073
Tm 1.693 3.258 0.073
Tm 3.116 3.269 3.051
Tm 3.116 6.522 3.051
Tm 6.502 0.006 2.905
Tm 6.502 3.258 2.905
Tm 7.926 3.269 5.883
Tm 7.926 6.522 5.883
Zr 0.054 1.632 3.359
Zr 4.755 4.896 0.382
Zr 4.863 1.632 5.574
Zr 9.565 4.896 2.596
O 0.034 1.632 5.632
O 0.951 3.456 3.890
O 0.951 6.335 3.890
O 1.786 1.632 1.961
O 2.017 4.896 1.826
O 2.792 1.632 4.803
O 3.023 4.896 4.939
O 3.858 0.192 0.912
O 3.858 3.071 0.912
O 4.775 4.896 2.654
O 4.843 1.632 3.301
O 5.760 3.456 5.044
O 5.760 6.335 5.044
O 6.595 1.632 1.017
O 6.826 4.896 1.152
O 7.601 1.632 4.130
O 7.833 4.896 3.995
O 8.667 0.192 2.066
O 8.667 3.071 2.066
O 9.585 4.896 0.323

=====

Record 5
32
Lattice="-3.490 3.490 10.094 3.490 -3.490 10.094 3.490 3.490 -10.094" Properties=species:S:1:pos:R:3 comment="UO3 | Alexandria via LeMat-Bulk | GGA-PBE | optimized geometry" formation_energy_uncorrected_ev_per_atom=-3.000 space_group=I4_1/amd energy_ev_per_atom=-9.541 pbc="T T T"
U 0.000 0.000 0.000
U 1.745 1.745 -5.047
U 1.745 -1.745 5.047
U 3.490 1.745 -1.288
U 0.000 1.745 3.760
U 0.000 3.490 0.000
U 3.490 1.745 6.335
U 0.000 1.745 11.382
O 3.490 0.068 1.339
O 2.097 1.745 -3.176
O 4.883 1.745 -3.176
O 0.000 0.352 1.871
O 3.490 3.088 -5.366
O 3.490 -0.401 5.366
O 1.343 1.745 -0.319
O 2.146 -1.745 9.776
O 1.813 1.745 3.708
O 5.166 1.745 3.708
O 0.000 0.068 8.755
O 3.490 0.352 8.223
O 0.000 3.138 1.871
O 3.490 3.421 1.339
O -1.676 1.745 6.386
O 1.676 1.745 6.386
O 1.343 5.234 0.319
O 2.146 1.745 10.413
O 0.000 3.891 4.728
O 0.000 0.401 15.460
O 3.490 3.138 8.223
O -1.393 1.745 13.271
O 1.393 1.745 13.271
O 0.000 3.421 8.755

=====

Record 6
13
Lattice="5.527 0.000 0.000 1.652 5.633 0.000 2.222 1.047 6.800" Properties=species:S:1:pos:R:3 comment="U3O10 | Alexandria via LeMat-Bulk | GGA-PBE | optimized geometry" formation_energy_uncorrected_ev_per_atom=-2.617 space_group=P-1 energy_ev_per_atom=-9.036 pbc="T T T"
U 0.000 0.000 0.000
U 3.990 3.487 1.813
U 5.412 3.193 4.987
O 2.622 5.525 1.603
O 2.482 2.571 2.265
O 3.931 2.221 5.702
O 4.947 4.893 6.474
O 4.190 4.419 3.701
O 5.211 2.261 3.098
O 4.454 1.787 0.325
O 5.470 4.459 1.097
O 6.919 4.109 4.535
O 6.779 1.155 5.196

=====

Record 7
4
Lattice="3.445 0.000 0.000 0.000 3.445 0.000 0.000 0.000 3.445" Properties=species:S:1:pos:R:3 comment="UO3 | Alexandria via LeMat-Bulk | GGA-PBE | optimized geometry" formation_energy_uncorrected_ev_per_atom=-1.986 space_group=Pm-3m energy_ev_per_atom=-8.527 pbc="T T T"
U 0.000 0.000 0.000
O 0.000 1.722 1.722
O 1.722 0.000 1.722
O 1.722 1.722 0.000

=====

Record 8
4
Lattice="3.808 0.000 0.000 -1.904 3.298 0.000 0.000 0.000 4.151" Properties=species:S:1:pos:R:3 comment="UO3 | Alexandria via LeMat-Bulk | GGA-PBE | optimized geometry" formation_energy_uncorrected_ev_per_atom=-2.973 space_group=P-3m1 energy_ev_per_atom=-9.513 pbc="T T T"
U 0.000 0.000 0.000
O 0.000 0.000 2.076
O 0.000 2.198 0.471
O 1.904 1.099 3.681